Here is an optimized crystal structure of LiS2Br from Alexandria via LeMat-Bulk. Energies are from GGA-PBE.

abc: 7.983 7.983 7.983
angles: 141.38 141.38 55.77
Element x y z (fractional)
Li1 0.000 0.000 0.000
Li2 0.750 0.250 0.500
S1 0.128 0.625 0.003
S2 0.375 0.378 0.503
S3 0.622 0.125 0.997
S4 0.875 0.872 0.497
Br1 0.250 0.750 0.500
Br2 0.500 0.500 0.000

Values from the calculation:
SG: No. 122
Offset from the most stable computed form: 198 meV/atom
Raw total energy: -2.752 eV/atom
Uncorrected formation energy: 4.80 kcal/mol of atoms